[1]
Compound: TlAg4Br
Source: Alexandria
Functional: PBE
Structure: optimized geometry

The structure belongs to space group F-43m (No. 216); the cell edges are 8.135, 8.135 and 8.135 Å and the angles 90.00°, 90.00° and 90.00°. The distinct sites, in fractional coordinates, are Tl at (0.000, 0.000, 0.000), Ag at (0.125, 0.125, 0.625) and Br at (0.250, 0.250, 0.250).

The formation energy (no corrections) comes out at 0.017 eV per atom. The size of the total moment is 0.00 μB per formula unit.

[2]
Compound: YHo2ScTe6
Source: Alexandria
Functional: PBE
Structure: optimized geometry

The structure belongs to space group R3 (No. 146, hexagonal axes); the cell edges are 7.5783, 7.5783 and 20.7832 Å and the angles 90.00°, 90.00° and 120.00°. The distinct sites, in fractional coordinates, are Y at (0.0000, 0.0000, 0.0000), Ho at (0.0000, 0.0000, 0.3143), Ho at (0.0000, 0.0000, 0.8160), Sc at (0.0000, 0.0000, 0.4982), Te at (0.0189, 0.3374, 0.5741) and Te at (0.0263, 0.6710, 0.0774).

The formation energy (no corrections) comes out at -1.314 eV per atom. The size of the total moment is 0.00 μB per formula unit.

[3]
Compound: LiTm12Al6
Source: Alexandria
Functional: PBE
Structure: optimized geometry

The structure belongs to space group R-3 (No. 148, hexagonal axes); the cell edges are 13.7700, 13.7700 and 9.3888 Å and the angles 90.00°, 90.00° and 120.00°. The distinct sites, in fractional coordinates, are Li at (0.0000, 0.0000, 0.0000), Tm at (0.0532, 0.8042, 0.9176), Tm at (0.0562, 0.8547, 0.2801) and Al at (0.0654, 0.8202, 0.5899).

For the formation enthalpy at 0 K, the calculation gives 0.02 eV/atom. The size of the total moment is 0.00 μB per formula unit.